[1]
Crystalline LiThAlAu at its relaxed geometry. Source: Alexandria via LeMat-Bulk, functional GGA-PBE.

Results
The formation energy is -0.362 eV/atom.

Lattice parameters (Å, degrees): 4.9107 4.9107 4.9107 60.00 60.00 60.00
Atoms (fractional coordinates):
Li  0.0000  0.0000  0.0000
Th  0.2500  0.2500  0.2500
Al  0.7500  0.7500  0.7500
Au  0.5000  0.5000  0.5000

***

[2]
Crystalline La4Pr5Nd3 at its relaxed geometry. Source: Alexandria via LeMat-Bulk, functional GGA-PBE.

Results
The excess energy over the best structure of this formula in the dataset is 0.0 kJ/mol of atoms. The formation energy is 0.014 eV/atom.

Lattice parameters (Å, degrees): 6.4961 7.4884 9.2694 101.68 96.73 90.20
Atoms (fractional coordinates):
La  0.1130  0.1681  0.1679
La  0.3869  0.5834  0.8329
La  0.6131  0.4166  0.1671
La  0.8870  0.8319  0.8321
Pr  0.0000  0.5000  0.5000
Pr  0.3888  0.0817  0.8289
Pr  0.4988  0.7501  0.4992
Pr  0.5012  0.2499  0.5008
Pr  0.6112  0.9183  0.1711
Nd  0.0000  0.0000  0.5000
Nd  0.1110  0.6674  0.1706
Nd  0.8890  0.3326  0.8294

***

[3]
Crystalline KHgBr at its relaxed geometry. Source: Alexandria via LeMat-Bulk, functional GGA-PBE.

Results
The excess energy over the best structure of this formula in the dataset is 9.0 kJ/mol of atoms.

Lattice parameters (Å, degrees): 5.0793 5.0793 5.7149 90.00 90.00 120.00
Atoms (fractional coordinates):
K  0.0000  0.0000  0.0000
Hg  0.3333  0.6667  0.5939
Br  0.6667  0.3333  0.2181

***

[4]
Crystalline CaRe at its relaxed geometry. Source: Alexandria via LeMat-Bulk, functional GGA-PBE.

Results
The excess energy over the best structure of this formula in the dataset is 42.1 kJ/mol of atoms. The formation energy is 0.739 eV/atom.

Lattice parameters (Å, degrees): 10.3729 10.3729 10.3729 17.72 17.72 17.72
Atoms (fractional coordinates):
Ca  0.1099  0.1099  0.1099
Ca  0.8901  0.8901  0.8901
Re  0.3618  0.3618  0.3618
Re  0.6382  0.6382  0.6382

***

[5]
Crystalline ThZrTl2 at its relaxed geometry. Source: Alexandria via LeMat-Bulk, functional GGA-PBE.

Results
The excess energy over the best structure of this formula in the dataset is 0.0 kJ/mol of atoms. The formation energy is -0.075 eV/atom.

Lattice parameters (Å, degrees): 3.4348 3.4348 8.7870 90.00 90.00 90.00
Atoms (fractional coordinates):
Th  0.0000  0.0000  0.0000
Zr  0.0000  0.0000  0.5000
Tl  0.5000  0.5000  0.2697
Tl  0.5000  0.5000  0.7303

***

[6]
Crystalline LaCoAg2 at its relaxed geometry. Source: Alexandria via LeMat-Bulk, functional GGA-PBE.

Results
The formation energy is 0.101 eV/atom.

Lattice parameters (Å, degrees): 4.0049 4.0049 4.9521 90.00 90.00 90.00
Atoms (fractional coordinates):
La  0.0000  0.0000  0.0000
Co  0.5000  0.5000  0.0000
Ag  0.0000  0.5000  0.5000
Ag  0.5000  0.0000  0.5000